# 1
First-principles (GGA-PBE) data for a relaxed Ba2AuI crystal, as listed in Alexandria via LeMat-Bulk.

Computed properties:
Energy relative to the lowest polymorph listed for this composition = 0.38 eV/f.u.

CIF file:
```
data_Ba2AuI
_cell_length_a 4.126
_cell_length_b 4.126
_cell_length_c 8.885
_cell_angle_alpha 90.00
_cell_angle_beta 90.00
_cell_angle_gamma 90.00
_space_group_name_H-M_alt 'P 4/m m m'
_space_group_IT_number 123
_space_group_name_Hall '-P 4 2'
loop_
_atom_site_label
_atom_site_fract_x
_atom_site_fract_y
_atom_site_fract_z
Ba1 0.000 0.000 0.214
Au1 0.500 0.500 0.000
I1 0.500 0.500 0.500
```

# 2
First-principles (GGA-PBE) data for a relaxed Ba2AuI2 crystal, as listed in Alexandria via LeMat-Bulk.

CIF file:
```
data_Ba2AuI2
_cell_length_a 4.9316
_cell_length_b 4.9316
_cell_length_c 35.4095
_cell_angle_alpha 90.00
_cell_angle_beta 90.00
_cell_angle_gamma 120.00
_space_group_name_H-M_alt 'R -3 m'
_space_group_IT_number 166
_space_group_name_Hall '-R 3 2"'
loop_
_atom_site_label
_atom_site_fract_x
_atom_site_fract_y
_atom_site_fract_z
Ba1 0.0000 0.0000 0.1110
Au1 0.0000 0.0000 0.5000
I1 0.0000 0.0000 0.3887
```

# 3
First-principles (GGA-PBE) data for a relaxed Ba6Au3I2 crystal, as listed in Alexandria via LeMat-Bulk.

CIF file:
```
data_Ba6Au3I2
_cell_length_a 8.309
_cell_length_b 14.402
_cell_length_c 9.071
_cell_angle_alpha 90.00
_cell_angle_beta 107.91
_cell_angle_gamma 90.00
_space_group_name_H-M_alt 'C 1 2/m 1'
_space_group_IT_number 12
loop_
_space_group_symop_operation_xyz
'x,y,z'
'-x,-y,-z'
'-x,y,-z'
'x,-y,z'
'x+1/2,y+1/2,z'
'-x+1/2,-y+1/2,-z'
'-x+1/2,y+1/2,-z'
'x+1/2,-y+1/2,z'
loop_
_atom_site_label
_atom_site_fract_x
_atom_site_fract_y
_atom_site_fract_z
Ba1 0.234 0.000 0.206
Ba2 0.238 0.334 0.210
Au1 0.000 0.169 0.000
Au2 0.000 0.500 0.000
I1 0.000 0.334 0.500
```

# 4
First-principles (GGA-PBE) data for a relaxed Ba3Au5I12 crystal, as listed in Alexandria via LeMat-Bulk.

CIF file:
```
data_Ba3Au5I12
_cell_length_a 18.638
_cell_length_b 18.638
_cell_length_c 18.638
_cell_angle_alpha 90.00
_cell_angle_beta 90.00
_cell_angle_gamma 90.00
_space_group_name_H-M_alt 'I a -3 d'
_space_group_IT_number 230
_space_group_name_Hall '-I 4bd 2c 3'
loop_
_atom_site_label
_atom_site_fract_x
_atom_site_fract_y
_atom_site_fract_z
Ba1 0.000 0.250 0.125
Au1 0.000 0.000 0.000
Au2 0.000 0.250 0.375
I1 0.029 0.057 0.648
```

Asked for D(E_F) across the records above, the calculation gives 0.6329; 0.5672; 0.6085; 0.6132 states/eV/atom in order.
Asked for E_form (uncorrected) across the records above, the calculation gives -0.9797; -1.2266; -0.8919; -0.7409 eV/atom in order.
Asked for theoretical density across the records above, the calculation gives 6.57; 4.85; 5.37; 5.99 Mg/m³ in order.